Run i
{"formula": "Pm2Nd8Er", "functional": "PBE-GGA", "state": "optimized geometry", "lattice": [[-3.1157, -4.9485, 1.4237], [0.1744, -7.6978, -5.0455], [6.5488, -6.6316, 1.9461]], "species": ["Nd", "Nd", "Nd", "Nd", "Nd", "Nd", "Nd", "Nd", "Pm", "Pm", "Er"], "frac_coords": [[0.2966, 0.4209, 0.0000], [0.8219, 0.3311, 0.7672], [0.1781, 0.9017, 0.7672], [0.1781, 0.6689, 0.2328], [0.5000, 0.2054, 0.5893], [0.8219, 0.0983, 0.2328], [0.5000, 0.7946, 0.4107], [0.7034, 0.5791, 0.0000], [0.0000, 0.6915, 0.6170], [0.0000, 0.3085, 0.3830], [0.5000, 0.0000, 0.0000]], "magnetic_moment_mub_per_fu": 0.00}

---

Run ii
{"formula": "Pm2Nd8Er", "functional": "PBE-GGA", "state": "optimized geometry", "lattice": [[-8.8697, 1.3308, 2.9479], [-9.4553, -3.4320, -1.8798], [-7.3386, -4.9214, 5.1616]], "species": ["Pm", "Pm", "Nd", "Nd", "Nd", "Nd", "Nd", "Nd", "Nd", "Nd", "Er"], "frac_coords": [[0.3485, 0.1416, 0.1416], [0.6515, 0.8584, 0.8584], [0.6150, 0.6914, 0.6914], [0.7342, 0.3187, 0.3187], [0.3850, 0.3086, 0.3086], [0.1395, 0.7833, 0.3498], [0.8605, 0.2167, 0.6502], [0.2658, 0.6813, 0.6813], [0.1395, 0.3498, 0.7833], [0.8605, 0.6502, 0.2167], [0.0000, 0.0000, 0.0000]], "magnetic_moment_mub_per_fu": 0.00}

---

Which of them is least stable? Easy: run i.

---

Run i
{"formula": "Pm3Nd5Er3", "functional": "PBE-GGA", "state": "optimized geometry", "lattice": [[-0.4262, -3.3405, -4.3950], [-5.7150, -6.0562, 5.1573], [-4.0004, 7.3006, -5.1610]], "species": ["Er", "Er", "Er", "Nd", "Nd", "Nd", "Nd", "Nd", "Pm", "Pm", "Pm"], "frac_coords": [[0.5000, 0.6320, 0.6320], [0.5000, 0.3680, 0.0000], [0.5000, 0.0000, 0.3680], [0.5000, 0.3333, 0.6667], [0.5000, 0.0000, 0.7322], [0.5000, 0.6667, 0.3333], [0.5000, 0.7322, 0.0000], [0.5000, 0.2678, 0.2678], [0.0000, 0.5719, 0.0000], [0.0000, 0.0000, 0.5719], [0.0000, 0.4281, 0.4281]], "magnetic_moment_mub_per_fu": 0.00}

---

Run ii
{"formula": "Pm3Nd5Er3", "functional": "PBE-GGA", "state": "optimized geometry", "lattice": [[7.4378, 8.4160, 1.7597], [-10.9439, 2.3971, -1.9315], [-0.6339, -0.1515, 3.4038]], "species": ["Er", "Er", "Er", "Nd", "Nd", "Nd", "Nd", "Nd", "Pm", "Pm", "Pm"], "frac_coords": [[0.0000, 0.8411, 0.5000], [0.8411, 0.0000, 0.5000], [0.1589, 0.1589, 0.5000], [0.6629, 0.6629, 0.5000], [0.3333, 0.6667, 0.5000], [0.0000, 0.3371, 0.5000], [0.6667, 0.3333, 0.5000], [0.3371, 0.0000, 0.5000], [0.4028, 0.4028, 0.0000], [0.5972, 0.0000, 0.0000], [0.0000, 0.5972, 0.0000]], "magnetic_moment_mub_per_fu": 0.00}

---

Which of them is least stable? Easy: run i.